(1)
Computed, not measured: a relaxed structure of BaNbTl2F8 at the PBE level of DFT.

The calculation puts the density of states at the Fermi level at 1.2 states/eV/f.u. The calculation puts the uncorrected formation energy at -2.788 eV/atom. The total magnetization is 1.0 μB/cell.

The space group is P2/m (No. 10) and the conventional cell measures 4.604, 8.087 and 6.497 Å, with angles of 90.00, 93.95 and 90.00 degrees. The distinct sites, in fractional coordinates, are Ba at (0.000, 0.000, 0.000), Nb at (0.000, 0.500, 0.000), Tl at (0.500, 0.253, 0.500), F at (0.093, 0.303, 0.813), F at (0.365, 0.500, 0.173) and F at (0.492, 0.000, 0.238).

***

(2)
Computed, not measured: a relaxed structure of Cs2TiPF6 at the PBE level of DFT.

The calculation puts the density of states at the Fermi level at 0.0 states/eV/f.u. The calculation puts the uncorrected formation energy at -2.488 eV/atom. The total magnetization is 2.0 μB/cell.

The space group is I4/mmm (No. 139) and the conventional cell measures 5.858, 5.858 and 11.374 Å, with angles of 90.00, 90.00 and 90.00 degrees. The distinct sites, in fractional coordinates, are Cs at (0.000, 0.500, 0.250), Ti at (0.000, 0.000, 0.000), P at (0.000, 0.000, 0.500), F at (0.000, 0.000, 0.169) and F at (0.247, 0.247, 0.000).

***

(3)
Computed, not measured: a relaxed structure of MnAlZnRu2 at the PBE level of DFT.

The calculation puts the density of states at the Fermi level at 3.8 states/eV/f.u. The total magnetization is 0.0 μB/cell. For the total energy, the calculation gives -5.721 eV/atom.

The space group is P4/mmm (No. 123) and the conventional cell measures 4.390, 4.390 and 4.416 Å, with angles of 90.00, 90.00 and 90.00 degrees. The distinct sites, in fractional coordinates, are Mn at (0.000, 0.000, 0.000), Al at (0.000, 0.000, 0.500), Zn at (0.500, 0.500, 0.500) and Ru at (0.000, 0.500, 0.000).

***

(4)
Computed, not measured: a relaxed structure of CsSiTeHSe at the PBE level of DFT.

The total magnetization is 0.0 μB/cell. Its relative energy among the computed polymorphs is 267.9 meV per atom.

The space group is P1 (No. 1) and the conventional cell measures 3.917, 7.194 and 7.237 Å, with angles of 65.18, 89.38 and 74.21 degrees. The distinct sites, in fractional coordinates, are Cs at (0.000, 0.000, 0.000), Si at (0.662, 0.664, 0.804), Te at (0.723, 0.545, 0.498), H at (0.090, 0.637, 0.450) and Se at (0.269, 0.451, 0.002).

***

- total magnetization of number 2 (Cs2TiPF6)?
  2.0 μB/cell

***

- What is the total magnetization in the first record?
  1.0 μB/cell

***

- Which formula does entry 2 have?
  Cs2TiPF6